Entry from Alexandria: crystalline AlNiOsW at its relaxed geometry (PBE-GGA).

Lattice parameters (Å, degrees): 6.0777 6.0777 6.0777 90.00 90.00 90.00
Space group F-43m (No. 216)
One atom of each set of equivalent atoms:
Al1 0.0000 0.0000 0.0000 (multiplicity 4)
Ni1 0.2500 0.2500 0.7500 (multiplicity 4)
Os1 0.2500 0.2500 0.2500 (multiplicity 4)
W1 0.0000 0.0000 0.5000 (multiplicity 4)

* crystal system: cubic
* formation energy from the elements: -0.16 eV per atom